## Tl2FeW (PBEsol)

Data for Tl2FeW after structural relaxation.

Cell: 6.559 6.559 6.559 Å, 90.00 90.00 90.00°
Space group Fm-3m (No. 225)
Asymmetric unit:
1 Tl 0.250 0.250 0.250 x8
2 Fe 0.000 0.000 0.000 x4
3 W 0.000 0.000 0.500 x4

Properties
- Relative energy among the computed polymorphs: 48.0 kJ/mol of atoms
- Energy relative to the elements: 1121 meV/atom
- Calculated density: 15.26 Mg/m³
- Total energy: -5.887 eV/atom



## YTl2Fe (PBEsol)

Data for YTl2Fe after structural relaxation.

Cell: 4.365 4.365 9.231 Å, 90.00 90.00 90.00°
Space group I-4m2 (No. 119)
Asymmetric unit:
1 Y 0.000 0.000 0.000 x2
2 Tl 0.000 0.000 0.500 x2
3 Tl 0.000 0.500 0.750 x2
4 Fe 0.000 0.500 0.250 x2

Properties
- Relative energy among the computed polymorphs: 4.6 kJ/mol of atoms
- Energy relative to the elements: 183 meV/atom
- Calculated density: 10.45 Mg/m³
- Total energy: -5.079 eV/atom



## YTlFe2 (PBEsol)

Data for YTlFe2 after structural relaxation.

Cell: 3.160 3.160 7.121 Å, 90.00 90.00 90.00°
Space group P4mm (No. 99)
Asymmetric unit:
1 Y 0.000 0.000 0.000 x1
2 Tl 0.500 0.500 0.659 x1
3 Fe 0.000 0.000 0.411 x1
4 Fe 0.500 0.500 0.264 x1

Properties
- Energy relative to the elements: 131 meV/atom
- Calculated density: 9.46 Mg/m³
- Total energy: -6.714 eV/atom



## YTl2Fe (PBEsol)

Data for YTl2Fe after structural relaxation.

Cell: 3.447 3.447 7.066 Å, 90.00 90.00 90.00°
Space group P4/mmm (No. 123)
Asymmetric unit:
1 Y 0.000 0.000 0.000 x1
2 Tl 0.500 0.500 0.288 x2
3 Fe 0.000 0.000 0.500 x1

Properties
- Relative energy among the computed polymorphs: 0.0 kJ/mol of atoms
- Energy relative to the elements: 135 meV/atom
- Calculated density: 10.95 Mg/m³
- Total energy: -5.127 eV/atom



## Y3TlFe (PBEsol)

Data for Y3TlFe after structural relaxation.

Cell: 5.594 5.594 5.594 Å, 90.00 90.00 90.00°
Space group Pm-3m (No. 221)
Asymmetric unit:
1 Y 0.000 0.000 0.500 x3
2 Tl 0.000 0.000 0.000 x1
3 Fe 0.500 0.500 0.500 x1

Properties
- Energy relative to the elements: 992 meV/atom
- Calculated density: 5.00 Mg/m³
- Total energy: -5.420 eV/atom



## Tl2ZnFe (PBEsol)

Data for Tl2ZnFe after structural relaxation.

Cell: 3.059 3.059 8.475 Å, 90.00 90.00 90.00°
Space group P4mm (No. 99)
Asymmetric unit:
1 Tl 0.000 0.000 0.000 x1
2 Tl 0.500 0.500 0.342 x1
3 Zn 0.000 0.000 0.616 x1
4 Fe 0.500 0.500 0.771 x1

Properties
- Relative energy among the computed polymorphs: 0.0 kJ/mol of atoms
- Energy relative to the elements: 362 meV/atom
- Calculated density: 11.10 Mg/m³
- Total energy: -3.589 eV/atom